# 1
{"formula": "NbGaMo", "functional": "PBE-GGA", "state": "relaxed", "de_polymorph_mev_per_atom": 0, "lattice_angstrom": [[0.000, 3.092, 3.092], [3.092, 0.000, 3.092], [3.092, 3.092, 0.000]], "species": ["Nb", "Ga", "Mo"], "fractional_positions": [[0.000, 0.000, 0.000], [0.500, 0.500, 0.500], [0.750, 0.750, 0.750]]}

# 2
{"formula": "KNaHg2Sb2", "functional": "PBE-GGA", "state": "relaxed", "final_energy_ev_per_atom": -2.182, "lattice_angstrom": [[4.855, 0.000, 0.000], [-2.428, 4.205, 0.000], [0.000, 0.000, 9.428]], "species": ["K", "Na", "Hg", "Hg", "Sb", "Sb"], "fractional_positions": [[0.000, 0.000, 0.000], [0.000, 0.000, 0.488], [0.333, 0.667, 0.734], [0.667, 0.333, 0.316], [0.333, 0.667, 0.253], [0.667, 0.333, 0.704]]}

# 3
{"formula": "Hf2NbIn", "functional": "PBE-GGA", "state": "relaxed", "final_energy_ev_per_atom": -8.079, "lattice_angstrom": [[0.000, 3.452, 3.452], [3.452, 0.000, 3.452], [3.452, 3.452, 0.000]], "species": ["Hf", "Hf", "Nb", "In"], "fractional_positions": [[0.000, 0.000, 0.000], [0.250, 0.250, 0.250], [0.750, 0.750, 0.750], [0.500, 0.500, 0.500]]}

# 4
{"formula": "HoTmMg2Sn2", "functional": "PBE-GGA", "state": "relaxed", "final_energy_ev_per_atom": -3.904, "lattice_angstrom": [[-2.183, 2.183, 7.904], [2.183, -2.183, 7.904], [2.183, 2.183, -7.904]], "species": ["Ho", "Tm", "Mg", "Mg", "Sn", "Sn"], "fractional_positions": [[0.000, 0.000, 0.000], [0.666, 0.666, 0.000], [0.332, 0.832, 0.500], [0.832, 0.332, 0.500], [0.196, 0.196, 0.000], [0.469, 0.469, 0.000]]}

# 5
{"formula": "LiMgTa", "functional": "PBE-GGA", "state": "relaxed", "de_polymorph_mev_per_atom": 355, "lattice_angstrom": [[0.000, 3.239, 3.239], [3.239, 0.000, 3.239], [3.239, 3.239, 0.000]], "species": ["Li", "Mg", "Ta"], "fractional_positions": [[0.000, 0.000, 0.000], [0.500, 0.500, 0.500], [0.250, 0.250, 0.250]]}

# 6
{"formula": "LiYCuGe", "functional": "PBE-GGA", "state": "relaxed", "de_polymorph_mev_per_atom": 78, "lattice_angstrom": [[0.000, 3.270, 3.270], [3.270, 0.000, 3.270], [3.270, 3.270, 0.000]], "species": ["Li", "Y", "Cu", "Ge"], "fractional_positions": [[0.000, 0.000, 0.000], [0.250, 0.250, 0.250], [0.750, 0.750, 0.750], [0.500, 0.500, 0.500]]}